Record 1
First-principles (GGA-PBE) data for SmYHoLu after structural relaxation, as listed in Alexandria.

## Properties
The value obtained for the electronic total energy is -4.948 eV per atom. As for the formation energy: 0.49 eV per formula unit. For the density of states at the Fermi level, the calculation gives 31.00 states/eV per cell. The crystal system is cubic.

CIF file:
```
data_SmYHoLu
_symmetry_space_group_name_H-M 'F -4 3 m'
_symmetry_Int_Tables_number 216
_symmetry_space_group_name_Hall 'F -4 2 3'
_cell_length_a 8.000
_cell_length_b 8.000
_cell_length_c 8.000
_cell_angle_alpha 90.00
_cell_angle_beta 90.00
_cell_angle_gamma 90.00
loop_
_atom_site_label
_atom_site_type_symbol
_atom_site_fract_x
_atom_site_fract_y
_atom_site_fract_z
_atom_site_occupancy
Sm1 Sm 0.000 0.000 0.000 1
Y1 Y 0.000 0.000 0.500 1
Ho1 Ho 0.250 0.250 0.750 1
Lu1 Lu 0.250 0.250 0.250 1
```

Record 2
First-principles (GGA-PBE) data for LaYI2 after structural relaxation, as listed in Alexandria.

## Properties
The value obtained for the electronic total energy is -4.383 eV per atom. For the uncorrected formation energy, the calculation gives -760 meV per atom. The value obtained for the energy above the most stable polymorph in this dataset is 0.0000 eV/atom. For the density of states at the Fermi level, the calculation gives 4.68 states/eV per cell. The crystal system is cubic.

CIF file:
```
data_LaYI2
_symmetry_space_group_name_H-M 'F m -3 m'
_symmetry_Int_Tables_number 225
_symmetry_space_group_name_Hall '-F 4 2 3'
_cell_length_a 7.775
_cell_length_b 7.775
_cell_length_c 7.775
_cell_angle_alpha 90.00
_cell_angle_beta 90.00
_cell_angle_gamma 90.00
loop_
_atom_site_label
_atom_site_type_symbol
_atom_site_fract_x
_atom_site_fract_y
_atom_site_fract_z
_atom_site_occupancy
La1 La 0.000 0.000 0.000 1
Y1 Y 0.000 0.000 0.500 1
I1 I 0.250 0.250 0.250 1
```

Record 3
First-principles (GGA-PBE) data for SbINO2 after structural relaxation, as listed in Alexandria.

## Properties
The value obtained for the electronic total energy is -4.309 eV per atom. For the uncorrected formation energy, the calculation gives 474 meV per atom. For the density of states at the Fermi level, the calculation gives 1.55 states/eV per cell. The crystal system is tetragonal.

CIF file:
```
data_SbINO2
_symmetry_space_group_name_H-M 'P 4/m m m'
_symmetry_Int_Tables_number 123
_symmetry_space_group_name_Hall '-P 4 2'
_cell_length_a 3.899
_cell_length_b 3.899
_cell_length_c 6.575
_cell_angle_alpha 90.00
_cell_angle_beta 90.00
_cell_angle_gamma 90.00
loop_
_atom_site_label
_atom_site_type_symbol
_atom_site_fract_x
_atom_site_fract_y
_atom_site_fract_z
_atom_site_occupancy
Sb1 Sb 0.000 0.000 0.000 1
I1 I 0.000 0.000 0.500 1
N1 N 0.500 0.500 0.500 1
O1 O 0.000 0.500 0.000 1
```

Record 4
First-principles (GGA-PBE) data for Er12Tm6Th after structural relaxation, as listed in Alexandria.

## Properties
The value obtained for the electronic total energy is -4.464 eV per atom. As for the formation energy: 4.19 eV per formula unit. The value obtained for the energy above the most stable polymorph in this dataset is 0.0703 eV/atom. For the density of states at the Fermi level, the calculation gives 107.03 states/eV per cell. The crystal system is trigonal.

CIF file:
```
data_Er12Tm6Th
_symmetry_space_group_name_H-M 'R -3 m'
_symmetry_Int_Tables_number 166
_symmetry_space_group_name_Hall '-R 3 2"'
_cell_length_a 13.1846
_cell_length_b 13.1846
_cell_length_c 12.0652
_cell_angle_alpha 90.00
_cell_angle_beta 90.00
_cell_angle_gamma 120.00
loop_
_atom_site_label
_atom_site_type_symbol
_atom_site_fract_x
_atom_site_fract_y
_atom_site_fract_z
_atom_site_occupancy
Er1 Er 0.0000 0.2564 0.0000 1
Er2 Er 0.0897 0.1795 0.7559 1
Tm1 Tm 0.0382 0.5191 0.1269 1
Th1 Th 0.0000 0.0000 0.5000 1
```

Record 5
First-principles (GGA-PBE) data for NaLaSi2Au5 after structural relaxation, as listed in Alexandria.

## Properties
The value obtained for the electronic total energy is -4.018 eV per atom. For the uncorrected formation energy, the calculation gives -298 meV per atom. For the density of states at the Fermi level, the calculation gives 4.50 states/eV per cell. The crystal system is tetragonal.

CIF file:
```
data_NaLaSi2Au5
_symmetry_space_group_name_H-M 'P 4/m m m'
_symmetry_Int_Tables_number 123
_symmetry_space_group_name_Hall '-P 4 2'
_cell_length_a 4.629
_cell_length_b 4.629
_cell_length_c 10.115
_cell_angle_alpha 90.00
_cell_angle_beta 90.00
_cell_angle_gamma 90.00
loop_
_atom_site_label
_atom_site_type_symbol
_atom_site_fract_x
_atom_site_fract_y
_atom_site_fract_z
_atom_site_occupancy
Na1 Na 0.000 0.000 0.000 1
La1 La 0.000 0.000 0.500 1
Si1 Si 0.500 0.500 0.265 1
Au1 Au 0.000 0.500 0.204 1
Au2 Au 0.500 0.500 0.500 1
```